The following is a GGA-PBE calculation of a relaxed structure of KHf3N5, from OQMD via LeMat-Bulk.

```
data_KHf3N5
_cell_length_a 5.5818
_cell_length_b 5.5818
_cell_length_c 5.6825
_cell_angle_alpha 90.00
_cell_angle_beta 90.00
_cell_angle_gamma 120.00
_space_group_name_H-M_alt 'P 6/m m m'
_space_group_IT_number 191
_space_group_name_Hall '-P 6 2'
loop_
_atom_site_label
_atom_site_type_symbol
_atom_site_fract_x
_atom_site_fract_y
_atom_site_fract_z
K1 K 0.0000 0.0000 0.0000
Hf1 Hf 0.0000 0.5000 0.5000
N1 N 0.0000 0.0000 0.5000
N2 N 0.3333 0.6667 0.2638
```

Summary:
- Calculated density: 7.0 g/cm3
- E: -8.1347 eV/atom
- Spin magnetization: 0.0 μB/f.u.